# 1
Compound: SmZrTiIr2
Source: the Alexandria database
Functional: GGA-PBE
Structure: optimized geometry

Unit cell a=4.3993 b=4.3993 c=10.9529 alpha=90.00 beta=90.00 gamma=90.00
Space group I-4m2 (No. 119)
One atom of each set of equivalent atoms:
Sm 0.0000 0.0000 0.0000 (multiplicity 2)
Zr 0.0000 0.5000 0.2500 (multiplicity 2)
Ti 0.0000 0.5000 0.7500 (multiplicity 2)
Ir 0.0000 0.0000 0.3821 (multiplicity 4)

Energy of formation from the pure elements in meV/atom: -744
Energy in eV per atom: -8.52
N(E_F) in states/eV/cell: 8.96
Calculated density in g/cm³: 10.6
Spin magnetization in μB/atom: 0.000


# 2
Compound: Sm6TlIr
Source: the Alexandria database
Functional: GGA-PBE
Structure: optimized geometry

Unit cell a=8.0436 b=10.4331 c=6.6075 alpha=90.00 beta=105.08 gamma=90.00
Space group C2/m (No. 12)
One atom of each set of equivalent atoms:
Sm 0.1217 0.1885 0.2880 (multiplicity 8)
Sm 0.2190 0.5000 0.1564 (multiplicity 4)
Tl 0.0000 0.5000 0.5000 (multiplicity 2)
Ir 0.0000 0.0000 0.0000 (multiplicity 2)

Energy of formation from the pure elements in meV/atom: -134
Energy in eV per atom: -5.08
N(E_F) in states/eV/cell: 21.11
Calculated density in g/cm³: 8.1
Spin magnetization in μB/atom: 0.000